[1]
First-principles (PBE-GGA) data for a relaxed Li2ZnAu8 crystal, as listed in Alexandria.

Values from the calculation:
Formation energy from the elements (meV/atom): -267
SG: C2/m, No. 12
Crystal system: monoclinic
ΔE to the lowest computed polymorph (meV per atom): 0
Final energy (eV per atom): -3.11

Cell: 4.1193 6.4577 7.5705 Å, 104.95 105.79 90.00°
Fractional positions:
Au1 0.0446 0.7320 0.0893
Au2 0.5978 0.4525 0.1956
Au3 0.1432 0.1954 0.2863
Au4 0.3201 0.0883 0.6402
Au5 0.8568 0.8046 0.7137
Au6 0.4022 0.5475 0.8044
Au7 0.9554 0.2680 0.9107
Au8 0.6799 0.9117 0.3598
Li1 0.7773 0.3538 0.5546
Li2 0.2227 0.6462 0.4454
Zn1 0.5000 0.0000 0.0000



[2]
First-principles (PBE-GGA) data for a relaxed MgZr2S crystal, as listed in Alexandria.

Values from the calculation:
SG: R3m, No. 160
Crystal system: trigonal
ΔE to the lowest computed polymorph (meV per atom): 0
Final energy (eV per atom): -6.39
Formation energy (no corrections) (eV per atom): -0.686

Cell: 3.5743 3.5743 8.1113 Å, 77.27 77.27 60.00°
Fractional positions:
Zr1 0.0609 0.0609 0.8174
Zr2 0.2727 0.2727 0.1820
Mg1 0.4996 0.4996 0.5011
S1 0.6669 0.6669 0.9994



[3]
First-principles (PBE-GGA) data for a relaxed BaSr3Pd crystal, as listed in Alexandria.

Values from the calculation:
Formation energy from the elements (meV/atom): -181
SG: R-3, No. 148
Crystal system: trigonal
ΔE to the lowest computed polymorph (meV per atom): 118
Final energy (eV per atom): -2.61

Cell: 10.2856 10.2856 10.2856 Å, 44.72 44.72 44.72°
Fractional positions:
Sr1 0.8471 0.2017 0.6132
Sr2 0.1529 0.7983 0.3868
Sr3 0.6132 0.8471 0.2017
Sr4 0.2017 0.6132 0.8471
Sr5 0.3868 0.1529 0.7983
Sr6 0.7983 0.3868 0.1529
Pd1 0.1906 0.1906 0.1906
Pd2 0.8094 0.8094 0.8094
Ba1 0.6840 0.6840 0.6840
Ba2 0.3160 0.3160 0.3160



[4]
First-principles (PBE-GGA) data for a relaxed HPt3Pb crystal, as listed in Alexandria.

Values from the calculation:
SG: P6_3/mmc, No. 194
Crystal system: hexagonal
ΔE to the lowest computed polymorph (meV per atom): 128
Final energy (eV per atom): -4.97

Cell: 5.2275 5.7376 5.7378 Å, 120.00 89.98 90.01°
Fractional positions:
Pt1 0.2500 0.8324 0.1674
Pt2 0.7500 0.1676 0.8326
Pt3 0.7500 0.1676 0.3350
Pt4 0.2500 0.8324 0.6650
Pt5 0.2500 0.3348 0.1675
Pt6 0.7500 0.6652 0.8326
H1 0.0000 0.0000 0.0000
H2 0.5000 0.0000 0.0000
Pb1 0.2500 0.3332 0.6666
Pb2 0.7500 0.6668 0.3334